CaAcBiPt (PBE, optimized geometry); formation energy from the elements = -0.82 eV/atom; mass density = 9.53 Mg/m³; calculated volume = 29.23 A^3/atom; space group = F-43m, No. 216; final energy = -4.8277 eV/atom; DOS at the Fermi energy = 0.005 states/eV/atom
1.0
5.489 0.000 0.000
2.744 4.753 0.000
2.744 1.584 4.481
Pt Ca Bi Ac
1 1 1 1
Cartesian
5.489 3.169 2.241
8.233 4.753 3.361
0.000 0.000 0.000
2.744 1.584 1.120



CaAcBiRh (PBE, optimized geometry); formation energy from the elements = -0.31 eV/atom; mass density = 9.19 Mg/m³; calculated volume = 26.15 A^3/atom; space group = F-43m, No. 216; final energy = -4.6447 eV/atom; DOS at the Fermi energy = 0.866 states/eV/atom
1.0
5.289 0.000 0.000
2.644 4.580 0.000
2.644 1.527 4.318
Rh Bi Ca Ac
1 1 1 1
Cartesian
0.000 0.000 0.000
2.644 1.527 1.080
5.289 3.054 2.159
7.933 4.580 3.239



CaAcBiSe (PBE, optimized geometry); mass density = 6.73 Mg/m³; E_form (uncorrected) = -135 kJ per mole of atoms; calculated volume = 34.26 A^3/atom; space group = R3m, No. 160; final energy = -4.7690 eV/atom; DOS at the Fermi energy = 0.027 states/eV/atom
1.0
-4.107 -2.053 0.714
-1.004 -3.997 -2.147
1.142 -5.753 5.148
Se Bi Ca Ac
1 1 1 1
Cartesian
-2.517 -9.455 3.694
-0.479 -3.624 1.942
-1.495 -6.544 2.825
-4.663 -6.638 -0.548



CaAcSiBi (PBE, optimized geometry); mass density = 6.85 Mg/m³; E_form (uncorrected) = -40 kJ per mole of atoms; calculated volume = 30.56 A^3/atom; space group = F-43m, No. 216; final energy = -4.2710 eV/atom; DOS at the Fermi energy = 0.797 states/eV/atom
1.0
5.571 0.000 0.000
2.785 4.825 0.000
2.785 1.608 4.549
Bi Ac Si Ca
1 1 1 1
Cartesian
0.000 0.000 0.000
2.785 1.608 1.137
5.571 3.216 2.274
8.356 4.825 3.411



CaAcSm2Bi4 (PBE, optimized geometry); formation energy from the elements = -0.86 eV/atom; mass density = 8.10 Mg/m³; calculated volume = 35.97 A^3/atom; space group = P2/m, No. 10; final energy = -4.7400 eV/atom; DOS at the Fermi energy = 0.527 states/eV/atom
1.0
4.651 0.000 0.000
0.000 8.181 -0.214
0.000 2.829 7.488
Bi Sm Ca Ac
4 2 1 1
Cartesian
2.326 4.075 5.645
0.000 8.354 5.464
2.326 6.936 1.629
4.651 2.657 1.810
2.326 1.415 3.744
0.000 2.829 7.488
2.326 6.920 7.381
0.000 5.505 3.637



CaAcSnBi (PBE, optimized geometry); formation energy from the elements = -0.62 eV/atom; mass density = 7.41 Mg/m³; calculated volume = 33.31 A^3/atom; space group = F-43m, No. 216; final energy = -4.1181 eV/atom; DOS at the Fermi energy = 0.883 states/eV/atom
1.0
5.733 0.000 0.000
2.867 4.965 0.000
2.867 1.655 4.681
Bi Ac Ca Sn
1 1 1 1
Cartesian
2.867 1.655 1.170
5.733 3.310 2.341
0.000 0.000 0.000
8.600 4.965 3.511



CaAc2TbBi4 (PBE, optimized geometry); formation energy from the elements = -0.86 eV/atom; mass density = 8.30 Mg/m³; calculated volume = 37.25 A^3/atom; space group = P2/m, No. 10; final energy = -4.6534 eV/atom; DOS at the Fermi energy = 0.646 states/eV/atom
1.0
4.761 0.000 0.000
0.000 8.051 -0.088
0.000 2.902 7.744
Bi Ac Tb Ca
4 2 1 1
Cartesian
2.381 6.627 1.957
4.761 2.885 1.899
2.380 4.325 5.699
0.000 8.068 5.757
0.000 2.902 7.744
2.380 1.451 3.872
0.000 5.476 3.828
2.380 4.025 -0.044



CaAcTb2Bi4 (PBE, optimized geometry); formation energy from the elements = -0.84 eV/atom; mass density = 8.38 Mg/m³; calculated volume = 35.19 A^3/atom; space group = P2/m, No. 10; final energy = -4.6977 eV/atom; DOS at the Fermi energy = 0.472 states/eV/atom
1.0
4.613 0.000 0.000
0.000 8.132 -0.219
0.000 2.806 7.429
Bi Ca Tb Ac
4 1 2 1
Cartesian
0.000 8.330 5.405
4.613 2.608 1.805
2.307 4.014 5.612
2.307 6.923 1.598
2.307 4.066 -0.109
2.307 1.403 3.714
0.000 2.806 7.429
0.000 5.469 3.605



CaAc2ThBi4 (PBE, optimized geometry); formation energy from the elements = -0.86 eV/atom; mass density = 8.55 Mg/m³; calculated volume = 37.91 A^3/atom; space group = P2/m, No. 10; final energy = -5.0008 eV/atom; DOS at the Fermi energy = 0.149 states/eV/atom
1.0
4.767 0.000 0.000
0.000 8.219 0.149
0.000 -2.866 7.690
Bi Th Ac Ca
4 1 2 1
Cartesian
2.383 4.027 6.011
0.000 -0.129 5.924
2.383 1.326 1.828
0.000 5.482 1.915
0.000 0.000 0.000
2.383 -1.433 3.845
0.000 2.677 3.919
2.383 4.109 0.075



CaAc2TmBi4 (PBE, optimized geometry); formation energy from the elements = -0.83 eV/atom; mass density = 8.44 Mg/m³; calculated volume = 36.85 A^3/atom; space group = P2/m, No. 10; final energy = -4.6079 eV/atom; DOS at the Fermi energy = 0.638 states/eV/atom
1.0
4.745 0.000 0.000
0.000 8.257 0.176
0.000 -2.881 7.462
Bi Tm Ac Ca
4 1 2 1
Cartesian
2.373 1.301 1.727
2.373 4.075 5.911
0.000 5.528 1.843
0.000 -0.153 5.796
0.000 0.000 0.000
0.000 2.688 3.819
2.373 -1.441 3.731
2.373 4.128 0.088



CaAcZnBi (PBE, optimized geometry); formation energy from the elements = -0.45 eV/atom; mass density = 7.15 Mg/m³; calculated volume = 31.44 A^3/atom; space group = F-43m, No. 216; final energy = -3.2677 eV/atom; DOS at the Fermi energy = 1.290 states/eV/atom
1.0
-1.101 -0.171 -5.512
-4.013 -3.417 -1.961
-4.806 2.151 -1.976
Ac Ca Bi Zn
1 1 1 1
Cartesian
-7.441 -1.078 -7.087
-2.480 -0.359 -2.362
-4.960 -0.719 -4.724
0.000 0.000 0.000



AcCdBi (PBE, optimized geometry); formation energy from the elements = -0.38 eV/atom; energy above the most stable polymorph in this dataset = 0.42 eV per formula unit; mass density = 9.27 Mg/m³; calculated volume = 32.75 A^3/atom; space group = I4mm, No. 107; final energy = -3.3468 eV/atom; DOS at the Fermi energy = 0.804 states/eV/atom
1.0
-2.341 3.307 0.724
-3.378 -2.223 -0.769
2.541 -1.995 5.627
Bi Cd Ac
1 1 1
Cartesian
-2.979 -0.003 2.080
-0.203 -0.923 3.560
-3.175 -0.896 5.525



Ac2Cd16Bi (PBE, optimized geometry); formation energy from the elements = -0.18 eV/atom; mass density = 8.70 Mg/m³; calculated volume = 24.73 A^3/atom; space group = R3m, No. 160; final energy = -1.5921 eV/atom; DOS at the Fermi energy = 0.336 states/eV/atom
1.0
-3.174 4.912 -5.181
3.761 -2.862 -6.221
-5.730 -4.810 -2.254
Cd Ac Bi
16 2 1
Cartesian
-6.765 -2.282 -7.755
-4.094 -5.275 -8.156
-5.982 0.694 -8.651
-2.327 1.444 -10.179
-1.556 2.314 -2.587
-3.334 1.377 -7.299
-0.014 -2.344 -7.797
-0.578 0.521 -7.741
-1.189 -4.679 -9.370
-0.541 -0.290 -1.435
1.745 -1.387 -3.082
-2.773 -2.314 -1.194
-0.205 -0.935 -10.497
-1.801 -4.134 -6.339
-4.557 -3.276 -5.898
-5.122 -0.412 -5.841
-3.412 -1.831 -9.061
-1.733 -0.930 -4.603
-4.613 -2.475 -12.250



AcCd2Bi (PBE, optimized geometry); formation energy from the elements = -0.42 eV/atom; mass density = 8.95 Mg/m³; calculated volume = 30.64 A^3/atom; space group = P4/mmm, No. 123; final energy = -2.8761 eV/atom; DOS at the Fermi energy = 0.301 states/eV/atom
1.0
-3.157 1.765 -3.859
-1.863 -4.411 -0.493
-3.383 1.065 3.255
Bi Cd Ac
1 2 1
Cartesian
-1.578 0.883 -1.929
-1.692 0.532 1.627
-0.932 -2.206 -0.247
-4.202 -0.791 -0.549



AcCd3Bi3 (PBE, optimized geometry); formation energy from the elements = -0.23 eV/atom; energy above the most stable polymorph in this dataset = 0.00 eV per formula unit; mass density = 8.04 Mg/m³; calculated volume = 35.14 A^3/atom; space group = P6_3/m, No. 176; final energy = -2.8717 eV/atom; DOS at the Fermi energy = 0.117 states/eV/atom
1.0
-1.126 -4.445 -1.156
6.302 -3.719 8.161
-10.579 2.207 1.816
Cd Bi Ac
6 6 2
Cartesian
1.487 -4.892 2.853
-2.932 -4.339 5.031
-2.471 -1.618 3.790
0.937 -6.001 7.653
-6.890 -1.065 5.968
-6.340 0.044 1.168
-2.026 -5.254 7.666
-3.377 -0.703 1.155
-8.228 -0.061 3.411
-1.304 -4.082 2.456
2.825 -5.896 5.410
-4.099 -1.875 6.365
0.394 -2.855 5.757
-5.797 -3.102 3.064



Ac6Cd5Bi (PBE, optimized geometry); formation energy from the elements = -0.37 eV/atom; mass density = 8.58 Mg/m³; calculated volume = 34.40 A^3/atom; space group = C2/m, No. 12; final energy = -3.1269 eV/atom; DOS at the Fermi energy = 1.140 states/eV/atom
1.0
5.605 0.000 -1.568
-4.199 8.093 -4.237
-0.223 -1.218 9.977
Ac Cd Bi
6 5 1
Cartesian
0.960 0.160 3.421
-0.371 3.276 -1.335
0.223 6.714 0.751
1.554 3.599 5.507
-1.914 5.158 3.914
3.097 1.716 0.258
-2.871 4.984 0.508
4.055 1.890 3.663
1.894 0.389 6.740
-0.710 6.486 -2.568
0.592 3.437 2.086
0.000 0.000 0.000



AcCd4Bi (PBE, optimized geometry); formation energy from the elements = -0.18 eV/atom; mass density = 8.85 Mg/m³; calculated volume = 27.69 A^3/atom; space group = F-43m, No. 216; final energy = -2.1179 eV/atom; DOS at the Fermi energy = 0.420 states/eV/atom
1.0
-1.576 0.258 5.960
-2.710 -4.849 2.687
3.093 -3.351 4.157
Cd Bi Ac
4 1 1
Cartesian
-0.746 -4.968 8.010
0.046 -5.098 5.016
0.616 -2.532 6.660
-2.300 -3.285 5.922
0.000 0.000 0.000
-0.298 -1.985 3.201



AcCdBi (PBE, optimized geometry); formation energy from the elements = -0.52 eV/atom; energy above the most stable polymorph in this dataset = 0.00 eV per formula unit; mass density = 8.93 Mg/m³; calculated volume = 33.97 A^3/atom; space group = P3m1, No. 156; final energy = -3.4870 eV/atom; DOS at the Fermi energy = 0.053 states/eV/atom
1.0
-2.052 4.267 -0.285
-1.851 -1.188 -4.470
-2.618 -0.984 4.122
Ac Bi Cd
1 1 1
Cartesian
-3.529 1.838 -1.803
-2.906 0.078 1.183
-0.086 0.178 -0.012



Ac2CdBi4 (PBE, optimized geometry); formation energy from the elements = -0.59 eV/atom; mass density = 9.46 Mg/m³; calculated volume = 35.16 A^3/atom; space group = P-4m2, No. 115; final energy = -4.1150 eV/atom; DOS at the Fermi energy = 0.387 states/eV/atom
1.0
4.745 0.000 0.000
0.000 4.745 0.000
0.000 0.000 10.931
Bi Cd Ac
4 1 2
Cartesian
2.372 0.000 1.830
0.000 2.372 9.101
0.000 0.000 5.465
2.372 2.372 5.465
2.372 2.372 0.000
0.000 2.372 2.742
2.372 0.000 8.188



AcCd2Bi2 (PBE, optimized geometry); formation energy from the elements = -0.40 eV/atom; mass density = 9.51 Mg/m³; calculated volume = 30.37 A^3/atom; space group = Cmcm, No. 63; final energy = -3.1357 eV/atom; DOS at the Fermi energy = 0.431 states/eV/atom
1.0
4.671 0.000 0.000
0.000 4.738 0.000
-2.335 0.000 13.722
Bi Ac Cd
4 2 4
Cartesian
2.335 3.554 10.391
0.000 3.554 6.865
2.335 1.185 6.857
0.000 1.185 3.331
0.000 1.185 9.561
2.335 3.554 4.162
2.335 1.185 0.963
0.000 3.554 1.077
2.335 1.185 12.645
0.000 3.554 12.759



AcCd3Bi3 (PBE, optimized geometry); formation energy from the elements = 0.16 eV/atom; energy above the most stable polymorph in this dataset = 2.75 eV per formula unit; mass density = 7.34 Mg/m³; calculated volume = 38.48 A^3/atom; space group = Pm-3n, No. 223; final energy = -2.4791 eV/atom; DOS at the Fermi energy = 0.323 states/eV/atom
1.0
-4.304 -6.268 2.897
0.352 -3.609 -7.284
6.896 -3.728 2.180
Bi Cd Ac
6 6 2
Cartesian
0.220 -6.565 3.263
1.900 -2.737 -3.097
2.372 -3.431 1.815
5.348 -4.601 -2.007
-1.888 -5.841 -4.015
-2.064 -4.036 -0.372
-0.428 -4.066 1.994
3.712 -4.571 -4.373
3.020 -5.930 3.084
3.536 -2.766 -0.731
-3.052 -6.506 -1.469
-0.900 -3.372 -2.918
1.472 -6.803 -1.103
0.000 0.000 0.000



AcCeCdBi (PBE, optimized geometry); formation energy from the elements = -0.39 eV/atom; mass density = 8.82 Mg/m³; calculated volume = 32.42 A^3/atom; space group = F-43m, No. 216; final energy = -4.0997 eV/atom; DOS at the Fermi energy = 2.611 states/eV/atom
1.0
-1.143 -2.909 -4.745
-3.352 -4.582 0.215
-5.210 0.183 -2.259
Ac Bi Ce Cd
1 1 1 1
Cartesian
0.000 0.000 0.000
-2.426 -1.827 -1.697
-4.853 -3.654 -3.394
-7.279 -5.481 -5.091



AcCdCuBi (PBE, optimized geometry); formation energy from the elements = -0.18 eV/atom; mass density = 9.40 Mg/m³; calculated volume = 27.03 A^3/atom; space group = F-43m, No. 216; final energy = -3.4257 eV/atom; DOS at the Fermi energy = 0.450 states/eV/atom
1.0
5.347 0.000 0.000
2.674 4.631 0.000
2.674 1.544 4.366
Cu Bi Ac Cd
1 1 1 1
Cartesian
5.347 3.087 2.183
2.674 1.544 1.092
8.021 4.631 3.275
0.000 0.000 0.000



AcErCdBi (PBE, optimized geometry); formation energy from the elements = -0.40 eV/atom; mass density = 9.45 Mg/m³; calculated volume = 31.43 A^3/atom; space group = F-43m, No. 216; final energy = -3.7636 eV/atom; DOS at the Fermi energy = 1.144 states/eV/atom
1.0
-5.003 -2.560 0.171
-1.123 -4.216 -3.547
-0.399 -5.267 1.929
Ac Er Bi Cd
1 1 1 1
Cartesian
-3.263 -6.021 -0.724
0.000 0.000 0.000
-4.894 -9.032 -1.086
-1.631 -3.011 -0.362



AcEuCdBi (PBE, optimized geometry); formation energy from the elements = -0.53 eV/atom; mass density = 8.58 Mg/m³; calculated volume = 33.87 A^3/atom; space group = F-43m, No. 216; final energy = -5.3215 eV/atom; DOS at the Fermi energy = 0.917 states/eV/atom
1.0
-0.683 -0.789 -5.670
3.867 -3.077 -2.969
-1.408 -5.206 -2.037
Bi Eu Ac Cd
1 1 1 1
Cartesian
0.444 -2.268 -2.669
0.000 0.000 0.000
0.888 -4.536 -5.338
1.332 -6.804 -8.007



AcCdGaBi (PBE, optimized geometry); formation energy from the elements = -0.27 eV/atom; mass density = 8.79 Mg/m³; calculated volume = 29.21 A^3/atom; space group = F-43m, No. 216; final energy = -3.2551 eV/atom; DOS at the Fermi energy = 0.787 states/eV/atom
1.0
-2.559 -4.609 1.521
2.708 -4.773 -0.010
1.305 -2.424 4.747
Bi Ac Ga Cd
1 1 1 1
Cartesian
0.363 -2.951 1.565
1.090 -8.854 4.694
0.000 0.000 0.000
0.727 -5.903 3.129